(1)
A plane-wave DFT calculation with PBE-GGA was carried out for LaHo2Se4 after structural relaxation.

Lattice parameters (Å, degrees): 4.065 13.408 13.829 90.00 90.00 90.00
Space group Cmcm (No. 63)
Unique sites:
La  0.000  0.121  0.250
Ho  0.000  0.369  0.066
Se  0.000  0.000  0.000
Se  0.000  0.272  0.619
Se  0.000  0.456  0.250

Values from the calculation:
crystal system = orthorhombic
uncorrected energy = -5.93 eV per atom

---

(2)
A plane-wave DFT calculation with PBE-GGA was carried out for LaHoSi2 after structural relaxation.

Lattice parameters (Å, degrees): 4.432 19.563 4.390 90.00 90.00 90.00
Space group Cmcm (No. 63)
Unique sites:
La  0.000  0.089  0.250
Ho  0.000  0.252  0.750
Si  0.000  0.351  0.250
Si  0.000  0.472  0.250

Values from the calculation:
crystal system = orthorhombic
uncorrected energy = -5.70 eV per atom

---

(3)
A plane-wave DFT calculation with PBE-GGA was carried out for LaHoSn2 after structural relaxation.

Lattice parameters (Å, degrees): 3.359 6.365 12.439 90.00 90.00 90.00
Space group Amm2 (No. 38)
Unique sites:
La  0.000  0.000  0.000
Ho  0.000  0.000  0.280
Sn  0.000  0.000  0.519
Sn  0.000  0.000  0.746

Values from the calculation:
crystal system = orthorhombic
uncorrected energy = -4.33 eV per atom

---

What did the third record say?
A plane-wave DFT calculation with PBE-GGA was carried out for LaHoSn2 after structural relaxation.

Lattice parameters (Å, degrees): 3.359 6.365 12.439 90.00 90.00 90.00
Space group Amm2 (No. 38)
Unique sites:
La  0.000  0.000  0.000
Ho  0.000  0.000  0.280
Sn  0.000  0.000  0.519
Sn  0.000  0.000  0.746

Values from the calculation:
crystal system = orthorhombic
uncorrected energy = -4.33 eV per atom

---

The lowest uncorrected energy belongs to which entry?
LaHo2Se4